Compound: Nb2Si2Te
Source: Alexandria
Functional: PBE
Structure: optimized geometry

Lattice parameters (Å, degrees): 7.353 7.353 3.371 90.00 90.00 90.00
Space group P4/mbm (No. 127)
Inequivalent atoms, fractional coordinates:
Nb  0.159  0.341  0.000 (multiplicity 4)
Si  0.124  0.624  0.500 (multiplicity 4)
Te  0.000  0.000  0.000 (multiplicity 2)

Final energy in eV per atom: -7.0214
Uncorrected formation energy in eV/atom: -0.20
Energy relative to the lowest polymorph listed for this composition in meV/atom: 131